An optimized crystal structure of TmMnAg2F6. Source: Alexandria via LeMat-Bulk, functional GGA+U.

volume: 15.588 Å³ per atom
symmetry: No. 2
energy: -53.2 eV per formula unit
Fermi-level density of states: 0.14 states/eV/atom

```
10
Lattice="6.035 0.000 0.000 3.007 5.233 0.000 3.009 1.743 4.936" Properties=species:S:1:pos:R:3 pbc="T T T"
Tm 0.000 0.000 0.000
Mn 6.026 3.488 2.468
Ag 3.012 1.746 1.233
Ag 9.039 5.230 3.703
F 6.018 5.034 3.982
F 4.340 2.514 3.415
F 4.695 4.658 1.224
F 7.356 2.317 3.712
F 7.711 4.462 1.520
F 6.033 1.941 0.954
```